No. 1
Material: TlFePb3
Method: DFT, GGA-PBE
State: optimized geometry

Lattice parameters (Å, degrees): 5.250 5.250 5.250 90.00 90.00 90.00
Space group Pm-3m (No. 221)
Inequivalent atoms, fractional coordinates:
1 Tl 0.000 0.000 0.000 (multiplicity 1)
2 Fe 0.500 0.500 0.500 (multiplicity 1)
3 Pb 0.000 0.500 0.500 (multiplicity 3)

## Properties
The total moment comes out at 2.34 μB per cell. For the total energy, the calculation gives -4.1370 eV per atom. The calculation puts the offset from the most stable computed form at 0.0 meV per atom. As for the energy of formation from the pure elements: 0.254 eV per atom.

No. 2
Material: Tl2FePb
Method: DFT, GGA-PBE
State: optimized geometry

Lattice parameters (Å, degrees): 3.626 4.775 6.139 90.00 105.72 90.00
Space group P2/m (No. 10)
Inequivalent atoms, fractional coordinates:
1 Tl 0.129 0.000 0.276 (multiplicity 2)
2 Fe 0.500 0.500 0.500 (multiplicity 1)
3 Pb 0.500 0.500 0.000 (multiplicity 1)

## Properties
The total moment comes out at 2.97 μB per cell. For the total energy, the calculation gives -3.7169 eV per atom. The calculation puts the offset from the most stable computed form at 136.3 meV per atom. As for the energy of formation from the pure elements: 0.509 eV per atom.

No. 3
Material: TlFe2Pb
Method: DFT, GGA-PBE
State: optimized geometry

Lattice parameters (Å, degrees): 3.497 3.497 6.444 90.00 90.00 90.00
Space group P4/mmm (No. 123)
Inequivalent atoms, fractional coordinates:
1 Tl 0.000 0.000 0.000 (multiplicity 1)
2 Fe 0.500 0.500 0.195 (multiplicity 2)
3 Pb 0.000 0.000 0.500 (multiplicity 1)

## Properties
The total moment comes out at 5.37 μB per cell. For the total energy, the calculation gives -5.0579 eV per atom. As for the energy of formation from the pure elements: 0.692 eV per atom.

No. 4
Material: Tl3FePb
Method: DFT, GGA-PBE
State: optimized geometry

Lattice parameters (Å, degrees): 5.235 5.235 5.235 90.00 90.00 90.00
Space group Pm-3m (No. 221)
Inequivalent atoms, fractional coordinates:
1 Tl 0.000 0.000 0.500 (multiplicity 3)
2 Fe 0.000 0.000 0.000 (multiplicity 1)
3 Pb 0.500 0.500 0.500 (multiplicity 1)

## Properties
The total moment comes out at 2.67 μB per cell. For the total energy, the calculation gives -3.4901 eV per atom. The calculation puts the offset from the most stable computed form at 0.0 meV per atom. As for the energy of formation from the pure elements: 0.364 eV per atom.

No. 5
Material: TlFe2Pb2
Method: DFT, GGA-PBE
State: optimized geometry

Lattice parameters (Å, degrees): 4.840 4.840 9.641 90.00 90.00 90.00
Space group I4/mmm (No. 139)
Inequivalent atoms, fractional coordinates:
1 Tl 0.000 0.000 0.000 (multiplicity 2)
2 Fe 0.000 0.000 0.394 (multiplicity 4)
3 Pb 0.000 0.500 0.250 (multiplicity 4)

## Properties
The total moment comes out at 0.23 μB per cell. For the total energy, the calculation gives -4.5426 eV per atom. As for the energy of formation from the pure elements: 0.799 eV per atom.

No. 6
Material: TlFe2Pb
Method: DFT, GGA-PBE
State: optimized geometry

Lattice parameters (Å, degrees): 3.182 3.182 8.212 90.00 90.00 90.00
Space group P4mm (No. 99)
Inequivalent atoms, fractional coordinates:
1 Tl 0.000 0.000 0.000 (multiplicity 1)
2 Fe 0.000 0.000 0.369 (multiplicity 1)
3 Fe 0.500 0.500 0.246 (multiplicity 1)
4 Pb 0.500 0.500 0.612 (multiplicity 1)

## Properties
The total moment comes out at 5.06 μB per cell. For the total energy, the calculation gives -5.3873 eV per atom. As for the energy of formation from the pure elements: 0.363 eV per atom.

No. 7
Material: TlFePb2
Method: DFT, GGA-PBE
State: optimized geometry

Lattice parameters (Å, degrees): 5.011 5.011 4.132 90.00 90.00 90.00
Space group P4/mmm (No. 123)
Inequivalent atoms, fractional coordinates:
1 Tl 0.000 0.000 0.000 (multiplicity 1)
2 Fe 0.500 0.500 0.000 (multiplicity 1)
3 Pb 0.000 0.500 0.500 (multiplicity 2)

## Properties
The total moment comes out at 3.06 μB per cell. For the total energy, the calculation gives -4.0029 eV per atom. The calculation puts the offset from the most stable computed form at 239.5 meV per atom. As for the energy of formation from the pure elements: 0.559 eV per atom.

No. 8
Material: TlFePb2
Method: DFT, GGA-PBE
State: optimized geometry

Lattice parameters (Å, degrees): 3.337 3.337 9.037 90.00 90.00 90.00
Space group P4mm (No. 99)
Inequivalent atoms, fractional coordinates:
1 Tl 0.000 0.000 0.000 (multiplicity 1)
2 Fe 0.500 0.500 0.195 (multiplicity 1)
3 Pb 0.000 0.000 0.398 (multiplicity 1)
4 Pb 0.500 0.500 0.708 (multiplicity 1)

## Properties
The total moment comes out at 2.73 μB per cell. For the total energy, the calculation gives -4.1568 eV per atom. The calculation puts the offset from the most stable computed form at 85.6 meV per atom. As for the energy of formation from the pure elements: 0.405 eV per atom.

No. 9
Material: Tl4FePb
Method: DFT, GGA-PBE
State: optimized geometry

Lattice parameters (Å, degrees): 8.949 8.949 8.949 90.00 90.00 90.00
Space group F-43m (No. 216)
Inequivalent atoms, fractional coordinates:
1 Tl 0.125 0.125 0.125 (multiplicity 16)
2 Fe 0.250 0.250 0.750 (multiplicity 4)
3 Pb 0.000 0.000 0.500 (multiplicity 4)

## Properties
The total moment comes out at 13.35 μB per cell. For the total energy, the calculation gives -2.9807 eV per atom. As for the energy of formation from the pure elements: 0.625 eV per atom.

No. 10
Material: TlFePb
Method: DFT, GGA-PBE
State: optimized geometry

Lattice parameters (Å, degrees): 6.646 6.646 6.646 90.00 90.00 90.00
Space group F-43m (No. 216)
Inequivalent atoms, fractional coordinates:
1 Tl 0.000 0.000 0.000 (multiplicity 4)
2 Fe 0.250 0.250 0.250 (multiplicity 4)
3 Pb 0.000 0.000 0.500 (multiplicity 4)

## Properties
The total moment comes out at 9.78 μB per cell. For the total energy, the calculation gives -4.3269 eV per atom. The calculation puts the offset from the most stable computed form at 0.0 meV per atom. As for the energy of formation from the pure elements: 0.519 eV per atom.

No. 11
Material: Tl2FePb
Method: DFT, GGA-PBE
State: optimized geometry

Lattice parameters (Å, degrees): 6.619 9.070 3.394 90.00 90.00 90.00
Space group Cmmm (No. 65)
Inequivalent atoms, fractional coordinates:
1 Tl 0.250 0.250 0.000 (multiplicity 4)
2 Fe 0.000 0.000 0.500 (multiplicity 2)
3 Pb 0.000 0.500 0.500 (multiplicity 2)

## Properties
The total moment comes out at 6.14 μB per cell. For the total energy, the calculation gives -3.6461 eV per atom. The calculation puts the offset from the most stable computed form at 207.1 meV per atom. As for the energy of formation from the pure elements: 0.580 eV per atom.

No. 12
Material: TlFe2Pb
Method: DFT, GGA-PBE
State: optimized geometry

Lattice parameters (Å, degrees): 4.754 4.754 3.310 90.00 90.00 90.00
Space group P4/mmm (No. 123)
Inequivalent atoms, fractional coordinates:
1 Tl 0.000 0.000 0.000 (multiplicity 1)
2 Fe 0.000 0.500 0.500 (multiplicity 2)
3 Pb 0.500 0.500 0.000 (multiplicity 1)

## Properties
The total moment comes out at 4.98 μB per cell. For the total energy, the calculation gives -5.0363 eV per atom. As for the energy of formation from the pure elements: 0.714 eV per atom.

No. 13
Material: TlFePb2
Method: DFT, GGA-PBE
State: optimized geometry

Lattice parameters (Å, degrees): 3.3798 3.3798 31.2995 90.00 90.00 120.00
Space group R3m (No. 160, hexagonal axes)
Inequivalent atoms, fractional coordinates:
1 Tl 0.0000 0.0000 0.0000 (multiplicity 3)
2 Fe 0.0000 0.0000 0.7339 (multiplicity 3)
3 Pb 0.0000 0.0000 0.2376 (multiplicity 3)
4 Pb 0.0000 0.0000 0.4690 (multiplicity 3)

## Properties
The total moment comes out at 8.45 μB per cell. For the total energy, the calculation gives -4.1304 eV per atom. The calculation puts the offset from the most stable computed form at 112.0 meV per atom. As for the energy of formation from the pure elements: 0.431 eV per atom.

No. 14
Material: TlFePb2
Method: DFT, GGA-PBE
State: optimized geometry

Lattice parameters (Å, degrees): 4.782 4.782 9.099 90.00 90.00 90.00
Space group I4/mmm (No. 139)
Inequivalent atoms, fractional coordinates:
1 Tl 0.000 0.000 0.000 (multiplicity 2)
2 Fe 0.000 0.000 0.500 (multiplicity 2)
3 Pb 0.000 0.500 0.250 (multiplicity 4)

## Properties
The total moment comes out at 6.21 μB per cell. For the total energy, the calculation gives -4.0168 eV per atom. The calculation puts the offset from the most stable computed form at 225.6 meV per atom. As for the energy of formation from the pure elements: 0.545 eV per atom.

No. 15
Material: Tl2FePb
Method: DFT, GGA-PBE
State: optimized geometry

Lattice parameters (Å, degrees): 3.345 5.521 5.580 90.00 90.00 90.00
Space group Pmmm (No. 47)
Inequivalent atoms, fractional coordinates:
1 Tl 0.000 0.000 0.000 (multiplicity 1)
2 Tl 0.500 0.500 0.000 (multiplicity 1)
3 Fe 0.000 0.500 0.500 (multiplicity 1)
4 Pb 0.500 0.000 0.500 (multiplicity 1)

## Properties
The total moment comes out at 3.15 μB per cell. For the total energy, the calculation gives -3.6650 eV per atom. The calculation puts the offset from the most stable computed form at 188.1 meV per atom. As for the energy of formation from the pure elements: 0.561 eV per atom.